First-principles (PBE-GGA) data for a relaxed SmHgNO crystal, as listed in OQMD.

Cell: 5.119 5.119 4.660 Å, 90.00 90.00 90.00°
Sites, in units of the cell vectors:
1 Hg 0.250 0.250 0.003
2 Sm 0.250 0.750 0.500
3 N 0.250 0.250 0.502
4 N 0.750 0.750 0.498
5 O 0.250 0.750 0.000
6 Hg 0.750 0.750 0.997
7 Sm 0.750 0.250 0.500
8 O 0.750 0.250 0.000

* total magnetic moment: 0.0 μB per formula unit
* ΔE to the lowest computed polymorph: 108 meV/atom
* calculated volume: 122.12 Å³ per cell

***

First-principles (PBE-GGA) data for a relaxed Nb2AlGaNi2 crystal, as listed in OQMD.

Cell: 9.983 4.075 9.985 Å, 90.00 109.48 90.00°
Sites, in units of the cell vectors:
1 Ga 0.375 0.500 0.875
2 Ni 0.374 0.500 0.126
3 Nb 0.625 0.500 0.125
4 Ni 0.000 0.000 0.001
5 Ni 0.875 0.500 0.625
6 Nb 0.124 0.500 0.626
7 Al 0.250 0.000 0.500
8 Nb 0.875 0.500 0.873
9 Ga 0.000 0.000 0.750
10 Ni 0.250 0.000 0.748
11 Ni 0.500 0.000 0.499
12 Nb 0.500 0.000 0.750
13 Ni 0.748 0.000 0.249
14 Ni 0.627 0.500 0.876
15 Ga 0.625 0.500 0.625
16 Al 0.500 0.000 0.250
17 Nb 0.250 0.000 0.998
18 Nb 0.376 0.500 0.376
19 Al 0.750 0.000 0.000
20 Al 0.125 0.500 0.125
21 Nb 0.999 0.000 0.251
22 Ni 0.126 0.500 0.376
23 Nb 0.751 0.000 0.501
24 Ga 0.875 0.500 0.375

* calculated total energy: -6.706 eV/atom
* total magnetic moment: 0.0 μB per formula unit
* calculated volume: 382.99 Å³ per cell

***

First-principles (PBE-GGA) data for a relaxed Hf2NiSb2Os crystal, as listed in OQMD.

Cell: 7.620 7.620 6.230 Å, 114.13 114.13 109.35°
Sites, in units of the cell vectors:
1 Sb 0.125 0.375 0.506
2 Os 0.000 0.000 0.000
3 Hf 0.872 0.622 0.497
4 Hf 0.625 0.875 0.003
5 Hf 0.378 0.128 0.503
6 Hf 0.125 0.375 0.997
7 Sb 0.625 0.875 0.494
8 Os 0.250 0.750 0.500
9 Ni 0.750 0.250 0.500
10 Sb 0.381 0.131 0.006
11 Sb 0.869 0.619 0.994
12 Ni 0.500 0.500 0.000

* calculated total energy: -8.084 eV/atom
* total magnetic moment: 0.0 μB per formula unit
* calculated volume: 241.32 Å³ per cell

***

First-principles (PBE-GGA) data for a relaxed RbZn crystal, as listed in OQMD.

Cell: 5.647 5.647 5.647 Å, 60.00 60.00 60.00°
Sites, in units of the cell vectors:
1 Zn 0.250 0.250 0.250
2 Rb 0.000 0.000 0.000

* calculated total energy: -0.608 eV/atom
* calculated volume: 127.36 Å³ per cell

***

First-principles (PBE-GGA) data for a relaxed LuAlBi2 crystal, as listed in OQMD.

Cell: 5.379 5.379 5.379 Å, 60.00 60.00 60.00°
Sites, in units of the cell vectors:
1 Lu 0.500 0.500 0.500
2 Al 0.750 0.750 0.750
3 Bi 0.250 0.250 0.250
4 Bi 0.000 0.000 0.000

* calculated total energy: -4.052 eV/atom
* total magnetic moment: 0.0 μB per formula unit
* calculated volume: 110.07 Å³ per cell

***

First-principles (PBE-GGA) data for a relaxed LiB4Os crystal, as listed in OQMD.

Cell: 4.363 4.363 4.363 Å, 140.26 107.03 86.45°
Sites, in units of the cell vectors:
1 B 0.921 0.262 0.658
2 Li 0.000 0.000 0.000
3 Os 0.500 0.500 0.000
4 B 0.604 0.262 0.342
5 B 0.396 0.738 0.658
6 B 0.079 0.738 0.342

* total magnetic moment: 0.0 μB per formula unit
* ΔE to the lowest computed polymorph: 18 meV/atom
* calculated volume: 48.92 Å³ per cell

***

First-principles (PBE-GGA) data for a relaxed Fe3H6C6N6Cl8 crystal, as listed in OQMD.

Cell: 9.918 9.918 6.134 Å, 90.00 90.00 120.00°
Last column: magnetic moment on the atom in μB.
Sites, in units of the cell vectors:
1 Cl 0.333 0.667 0.781  0.20
2 C 0.063 0.285 0.735  0.00
3 C 0.937 0.715 0.265  0.00
4 Cl 0.894 0.521 0.744  0.20
5 H 0.696 0.086 0.351  0.00
6 Cl 0.479 0.373 0.744  0.20
7 N 0.135 0.961 0.826  0.00
8 Cl 0.521 0.627 0.256  0.20
9 Cl 0.373 0.894 0.256  0.20
10 H 0.086 0.390 0.649  0.00
11 N 0.039 0.173 0.826  0.00
12 H 0.304 0.914 0.649  0.00
13 N 0.173 0.135 0.174  0.00
14 C 0.715 0.778 0.735  0.00
15 N 0.865 0.039 0.174  0.00
16 N 0.827 0.865 0.826  0.00
17 H 0.914 0.610 0.351  0.00
18 Cl 0.106 0.479 0.256  0.20
19 N 0.961 0.827 0.174  0.00
20 C 0.778 0.063 0.265  0.00
21 C 0.222 0.937 0.735  0.00
22 C 0.285 0.222 0.265  0.00
23 H 0.390 0.304 0.351  0.00
24 Fe 0.667 0.333 0.859  3.74
25 Cl 0.627 0.106 0.744  0.20
26 Fe 0.000 0.000 0.000  0.00
27 Cl 0.667 0.333 0.219  0.20
28 Fe 0.333 0.667 0.141  3.74
29 H 0.610 0.696 0.649  0.00

* calculated total energy: -5.864 eV/atom
* total magnetic moment: 10.0 μB per formula unit
* calculated volume: 522.56 Å³ per cell

***

First-principles (PBE-GGA) data for a relaxed ZrInCuTe3 crystal, as listed in OQMD.

Cell: 7.836 7.836 10.758 Å, 90.00 90.00 29.92°
Sites, in units of the cell vectors:
1 Te 0.077 0.077 0.750
2 In 0.757 0.757 0.750
3 Zr 0.000 0.000 0.500
4 Te 0.636 0.636 0.446
5 In 0.243 0.243 0.250
6 Cu 0.466 0.466 0.750
7 Te 0.636 0.636 0.054
8 Te 0.364 0.364 0.554
9 Te 0.923 0.923 0.250
10 Zr 0.000 0.000 0.000
11 Te 0.364 0.364 0.946
12 Cu 0.534 0.534 0.250

* calculated total energy: -4.595 eV/atom
* total magnetic moment: 0.0 μB per formula unit
* calculated volume: 329.47 Å³ per cell

***

First-principles (PBE-GGA) data for a relaxed Ga2CuTc2 crystal, as listed in OQMD.

Cell: 6.728 6.728 6.728 Å, 149.50 149.50 43.67°
Sites, in units of the cell vectors:
1 Ga 0.750 0.250 0.500
2 Tc 0.407 0.407 0.000
3 Tc 0.593 0.593 0.000
4 Cu 0.000 0.000 0.000
5 Ga 0.250 0.750 0.500

* calculated total energy: -5.649 eV/atom
* total magnetic moment: 0.0 μB per formula unit
* calculated volume: 78.22 Å³ per cell

***

First-principles (PBE-GGA) data for a relaxed BaPmAsO crystal, as listed in OQMD.

Cell: 4.443 7.472 6.935 Å, 90.00 90.00 90.00°
Sites, in units of the cell vectors:
1 Ba 0.000 0.364 0.913
2 Pm 0.500 0.976 0.105
3 O 0.500 0.797 0.375
4 Pm 0.500 0.024 0.605
5 As 0.000 0.188 0.361
6 As 0.000 0.812 0.861
7 Ba 0.000 0.636 0.413
8 O 0.500 0.203 0.875

* total magnetic moment: 0.0 μB per formula unit
* ΔE to the lowest computed polymorph: 0 meV/atom
* calculated volume: 230.24 Å³ per cell

***

First-principles (PBE-GGA) data for a relaxed KSrSm crystal, as listed in OQMD.

Cell: 6.421 6.421 6.421 Å, 60.00 60.00 60.00°
Sites, in units of the cell vectors:
1 Sr 0.750 0.750 0.750
2 K 0.250 0.250 0.250
3 Sm 0.000 0.000 0.000

* total magnetic moment: 1.9 μB per formula unit
* ΔE to the lowest computed polymorph: 0 meV/atom
* calculated volume: 187.20 Å³ per cell

***

First-principles (PBE-GGA) data for a relaxed Gd2NiPd crystal, as listed in OQMD.

Cell: 4.347 5.590 5.590 Å, 39.83 90.00 90.00°
Sites, in units of the cell vectors:
1 Gd 0.500 0.862 0.862
2 Gd 0.000 0.142 0.142
3 Ni 0.000 0.418 0.418
4 Pd 0.500 0.578 0.578

* energy of formation: -0.646 eV per atom
* total magnetic moment: 0.0 μB per formula unit
* calculated volume: 87.01 Å³ per cell